1.
{"formula": "LaCeGe4", "functional": "GGA-PBE", "state": "relaxed", "volume_a3_per_atom": 21.67, "formation_energy_ev_per_atom": -0.430, "relative_energy_mev_per_atom": 90, "e_tot_ev_per_atom": -5.3185, "spacegroup": "F-43m", "cell": [[-5.2016, -1.8947, -1.3010], [-1.0774, -5.5838, 0.0111], [-3.3008, -2.2509, 4.0469]], "species": ["Ge", "Ge", "Ge", "Ge", "Ce", "La"], "frac_coords": [[0.6242, 0.6242, 0.1275], [0.6242, 0.1275, 0.6242], [0.6242, 0.6242, 0.6242], [0.1275, 0.6242, 0.6242], [0.2500, 0.2500, 0.2500], [0.0000, 0.0000, 0.0000]]}

---

2.
{"formula": "LaCe3Ge2", "functional": "GGA-PBE", "state": "relaxed", "volume_a3_per_atom": 26.42, "formation_energy_ev_per_atom": -0.505, "e_tot_ev_per_atom": -5.8322, "spacegroup": "C2/m", "cell": [[-0.4975, 2.6383, 3.7665], [-7.7295, 2.3336, -5.4957], [-0.1528, -6.9250, 4.8305]], "species": ["La", "La", "Ce", "Ce", "Ce", "Ce", "Ce", "Ce", "Ge", "Ge", "Ge", "Ge"], "frac_coords": [[0.8868, 0.7736, 0.9210], [0.1132, 0.2264, 0.0790], [0.3111, 0.6221, 0.4890], [0.9466, 0.8933, 0.5621], [0.6449, 0.2897, 0.7811], [0.3551, 0.7103, 0.2189], [0.0534, 0.1067, 0.4379], [0.6889, 0.3779, 0.5110], [0.4890, 0.9779, 0.8320], [0.5110, 0.0221, 0.1680], [0.7492, 0.4984, 0.2178], [0.2508, 0.5016, 0.7822]]}

---

3.
{"formula": "LaCe5Ge3", "functional": "GGA-PBE", "state": "relaxed", "volume_a3_per_atom": 25.79, "formation_energy_ev_per_atom": -0.361, "e_tot_ev_per_atom": -5.7441, "spacegroup": "I4/mcm", "cell": [[7.4762, 0.0000, 0.0000], [0.0000, 7.4762, 0.0000], [-3.7381, -3.7381, 8.3044]], "species": ["La", "La", "Ce", "Ce", "Ce", "Ce", "Ce", "Ce", "Ce", "Ce", "Ce", "Ce", "Ge", "Ge", "Ge", "Ge", "Ge", "Ge"], "frac_coords": [[0.7500, 0.2500, 0.5000], [0.2500, 0.7500, 0.5000], [0.0624, 0.5624, 0.7417], [0.6794, 0.1794, 0.7417], [0.1794, 0.0624, 0.7417], [0.5624, 0.6794, 0.7417], [0.9376, 0.4376, 0.2583], [0.3206, 0.8206, 0.2583], [0.8206, 0.9376, 0.2583], [0.4376, 0.3206, 0.2583], [0.5000, 0.5000, 0.0000], [0.0000, 0.0000, 0.0000], [0.6181, 0.1181, 0.0000], [0.3819, 0.8819, 0.0000], [0.8819, 0.6181, 0.0000], [0.1181, 0.3819, 0.0000], [0.2500, 0.2500, 0.5000], [0.7500, 0.7500, 0.5000]]}